# Hg5Cl, relaxed, DFT GGA-PBEsol
# energy above the most stable polymorph in this dataset = 20 meV/atom
# total magnetization = 0.00 μB/cell
# energy relative to the elements, uncorrected = -0.103 eV/atom
# crystal system = orthorhombic
data_Hg5Cl
_cell_length_a 5.9268
_cell_length_b 4.1493
_cell_length_c 12.5132
_cell_angle_alpha 90.00
_cell_angle_beta 90.00
_cell_angle_gamma 90.00
_symmetry_space_group_name_H-M 'A m m 2'
_symmetry_Int_Tables_number 38
_symmetry_space_group_name_Hall 'A 2 -2'
loop_
_atom_site_label
_atom_site_type_symbol
_atom_site_fract_x
_atom_site_fract_y
_atom_site_fract_z
Hg1 Hg 0.0000 0.0000 0.0000
Hg2 Hg 0.0000 0.0000 0.3291
Hg3 Hg 0.0000 0.0000 0.6646
Hg4 Hg 0.5000 0.0000 0.3303
Hg5 Hg 0.5000 0.0000 0.9961
Cl1 Cl 0.5000 0.0000 0.6632